Here is a relaxed structure of ReNiBr2 from Alexandria. Energies are from PBE.

Unit cell a=5.6277 b=5.6277 c=10.7447 alpha=90.00 beta=90.00 gamma=90.00
Fractional positions:
Re: 0.0000 0.0000 0.0000
Re: 0.0000 0.5000 0.2500
Re: 0.5000 0.0000 0.7500
Re: 0.5000 0.5000 0.5000
Ni: 0.0000 0.0000 0.5000
Ni: 0.0000 0.5000 0.7500
Ni: 0.5000 0.0000 0.2500
Ni: 0.5000 0.5000 0.0000
Br: 0.2349 0.2500 0.6250
Br: 0.2500 0.7349 0.8750
Br: 0.2500 0.7651 0.3750
Br: 0.2651 0.2500 0.1250
Br: 0.7349 0.7500 0.1250
Br: 0.7500 0.2349 0.3750
Br: 0.7500 0.2651 0.8750
Br: 0.7651 0.7500 0.6250

Energy relative to the lowest polymorph listed for this composition: 745 meV per atom
N(E_F): 1.136 states/eV per atom
Formation energy without anion corrections: 1.076 eV per atom
Space-group type: No. 122
Theoretical density: 7.9 g/cm3
E: -4.318 eV per atom